[1]
Density functional theory data (PBE-GGA) for a geometry-optimized AcTh2Te6 structure.

The structure in CIF format:
```
data_AcTh2Te6
_space_group_name_H-M_alt 'I -4 2 m'
_space_group_IT_number 121
_space_group_name_Hall 'I -4 2'
_cell_length_a 5.771
_cell_length_b 5.771
_cell_length_c 24.167
_cell_angle_alpha 90.00
_cell_angle_beta 90.00
_cell_angle_gamma 90.00
loop_
_atom_site_label
_atom_site_type_symbol
_atom_site_fract_x
_atom_site_fract_y
_atom_site_fract_z
Ac1 Ac 0.000 0.000 0.000
Th1 Th 0.000 0.000 0.312
Te1 Te 0.000 0.500 0.250
Te2 Te 0.237 0.237 0.596
```


[2]
Density functional theory data (PBE-GGA) for a geometry-optimized Ac2ThTe5 structure.

The structure in CIF format:
```
data_Ac2ThTe5
_space_group_name_H-M_alt 'C m c m'
_space_group_IT_number 63
_space_group_name_Hall '-C 2c 2'
_cell_length_a 6.356
_cell_length_b 15.945
_cell_length_c 15.488
_cell_angle_alpha 90.00
_cell_angle_beta 90.00
_cell_angle_gamma 90.00
loop_
_atom_site_label
_atom_site_type_symbol
_atom_site_fract_x
_atom_site_fract_y
_atom_site_fract_z
Ac1 Ac 0.000 0.146 0.062
Th1 Th 0.000 0.195 0.750
Te1 Te 0.000 0.049 0.623
Te2 Te 0.000 0.264 0.250
Te3 Te 0.000 0.308 0.581
```


[3]
Density functional theory data (PBE-GGA) for a geometry-optimized Ac2ThTe6 structure.

The structure in CIF format:
```
data_Ac2ThTe6
_space_group_name_H-M_alt 'P -6 2 m'
_space_group_IT_number 189
_space_group_name_Hall 'P -6 -2'
_cell_length_a 8.7646
_cell_length_b 8.7646
_cell_length_c 4.5885
_cell_angle_alpha 90.00
_cell_angle_beta 90.00
_cell_angle_gamma 120.00
loop_
_atom_site_label
_atom_site_type_symbol
_atom_site_fract_x
_atom_site_fract_y
_atom_site_fract_z
Ac1 Ac 0.3333 0.6667 0.0000
Th1 Th 0.0000 0.0000 0.5000
Te1 Te 0.0000 0.2510 0.0000
Te2 Te 0.0000 0.6039 0.5000
```


Number 1: E -45.5 eV per formula unit, raw formation energy -7.7 eV per formula unit, density of states at the Fermi level 0.947 states/eV/atom. Number 2: E -42.2 eV per formula unit, raw formation energy -10.8 eV per formula unit, density of states at the Fermi level 0.000 states/eV/atom. Number 3: E -45.9 eV per formula unit, raw formation energy -11.4 eV per formula unit, density of states at the Fermi level 0.572 states/eV/atom.